Entry 1:
## Sr2TlCd4Sn3 (PBE)

Data for an optimized crystal structure of Sr2TlCd4Sn3.

extended XYZ file:
```
10
Lattice="4.822 0.000 0.000 0.000 4.822 0.000 0.000 0.000 12.504" Properties=species:S:1:pos:R:3 pbc="T T T"
Sn 2.411 0.000 10.786
Sr 0.000 2.411 9.420
Sr 2.411 0.000 3.084
Cd 0.000 0.000 0.000
Cd 2.411 0.000 7.996
Cd 0.000 2.411 4.508
Sn 0.000 2.411 1.718
Tl 2.411 2.411 6.252
Sn 0.000 0.000 6.252
Cd 2.411 2.411 0.000
```

Properties
Theoretical density   6.770 Mg/m³
DFT formation energy   -0.31 eV/atom



Entry 2:
## SrTmCdSn (PBE)

Data for an optimized crystal structure of SrTmCdSn.

extended XYZ file:
```
4
Lattice="-0.500 -3.977 3.704 3.798 -3.905 0.341 3.364 -0.168 4.295" Properties=species:S:1:pos:R:3 pbc="T T T"
Sn 1.666 -2.013 2.085
Tm 3.331 -4.025 4.170
Sr 0.000 0.000 0.000
Cd 4.997 -6.038 6.255
```

Properties
Theoretical density   7.043 Mg/m³
DFT formation energy   -0.41 eV/atom